No. 1
Density functional theory data (PBE-GGA) for a geometry-optimized MgTl2Pb structure.

DFT formation energy	19	meV/atom
calculated total energy	-10.0	eV for the cell shown
DOS at the Fermi energy	2.346	states/eV/f.u.
total moment	0.000	Bohr magnetons per cell

Cell and atoms, written as POSCAR:
```
MgTl2Pb
1.0
1.7768 1.0258 10.4482
-1.7768 1.0258 10.4482
0.0000 -2.0517 10.4482
Mg Tl Pb
1 2 1
direct
0.0000 0.0000 0.0000
0.4110 0.4110 0.4110
0.5889 0.5889 0.5889
0.1670 0.1670 0.1670
```

No. 2
Density functional theory data (PBE-GGA) for a geometry-optimized Mg12Tl2Pb5 structure.

DFT formation energy	1	meV/atom
calculated total energy	-42.4	eV for the cell shown
DOS at the Fermi energy	7.232	states/eV/f.u.
total moment	0.000	Bohr magnetons per cell

Cell and atoms, written as POSCAR:
```
Mg12Tl2Pb5
1.0
7.3210 -4.5024 0.0000
7.3210 4.5024 0.0000
-0.0112 0.0000 7.3984
Mg Tl Pb
12 2 5
direct
0.0541 0.0541 0.3131
0.0866 0.6796 0.3541
0.1558 0.5354 0.7561
0.3204 0.9134 0.6459
0.4069 0.4069 0.1105
0.4646 0.8442 0.2439
0.5354 0.1558 0.7561
0.5931 0.5931 0.8895
0.6796 0.0866 0.3541
0.8442 0.4646 0.2439
0.9134 0.3204 0.6459
0.9459 0.9459 0.6869
0.2075 0.7925 0.0000
0.7925 0.2075 0.0000
0.2011 0.2011 0.9604
0.2583 0.2583 0.4215
0.5000 0.5000 0.5000
0.7417 0.7417 0.5785
0.7989 0.7989 0.0396
```

No. 3
Density functional theory data (PBE-GGA) for a geometry-optimized Mg6Tl3Pb structure.

DFT formation energy	295	meV/atom
calculated total energy	-17.4	eV for the cell shown
DOS at the Fermi energy	5.169	states/eV/f.u.
total moment	0.000	Bohr magnetons per cell

Cell and atoms, written as POSCAR:
```
Mg6Tl3Pb
1.0
0.0000 5.4380 5.4380
5.4380 0.0000 5.4380
5.4380 5.4380 0.0000
Mg Tl Pb
6 3 1
direct
0.2467 0.2467 0.7533
0.2467 0.7533 0.2467
0.2467 0.7533 0.7533
0.7533 0.2467 0.2467
0.7533 0.2467 0.7533
0.7533 0.7533 0.2467
0.0000 0.0000 0.0000
0.2500 0.2500 0.2500
0.7500 0.7500 0.7500
0.5000 0.5000 0.5000
```

No. 4
Density functional theory data (PBE-GGA) for a geometry-optimized Mg7Tl6Pb16 structure.

DFT formation energy	21	meV/atom
calculated total energy	-84.1	eV for the cell shown
DOS at the Fermi energy	12.464	states/eV/f.u.
total moment	0.000	Bohr magnetons per cell

Cell and atoms, written as POSCAR:
```
Mg7Tl6Pb16
1.0
0.0000 7.6038 7.6038
7.6038 0.0000 7.6038
7.6038 7.6038 0.0000
Mg Tl Pb
7 6 16
direct
0.0000 0.0000 0.0000
0.0000 0.0000 0.5000
0.0000 0.5000 0.0000
0.0000 0.5000 0.5000
0.5000 0.0000 0.0000
0.5000 0.0000 0.5000
0.5000 0.5000 0.0000
0.2878 0.2878 0.7122
0.2878 0.7122 0.2878
0.2878 0.7122 0.7122
0.7122 0.2878 0.2878
0.7122 0.2878 0.7122
0.7122 0.7122 0.2878
0.0185 0.6605 0.6605
0.1202 0.1202 0.1202
0.1202 0.1202 0.6394
0.1202 0.6394 0.1202
0.3395 0.3395 0.3395
0.3395 0.3395 0.9815
0.3395 0.9815 0.3395
0.3606 0.8798 0.8798
0.6394 0.1202 0.1202
0.6605 0.0185 0.6605
0.6605 0.6605 0.0185
0.6605 0.6605 0.6605
0.8798 0.3606 0.8798
0.8798 0.8798 0.3606
0.8798 0.8798 0.8798
0.9815 0.3395 0.3395
```

No. 5
Density functional theory data (PBE-GGA) for a geometry-optimized Mg6Tl5Pb structure.

DFT formation energy	-38	meV/atom
calculated total energy	-25.6	eV for the cell shown
DOS at the Fermi energy	4.708	states/eV/f.u.
total moment	0.000	Bohr magnetons per cell

Cell and atoms, written as POSCAR:
```
Mg6Tl5Pb
1.0
4.6537 -7.5829 0.0000
4.6537 7.5829 0.0000
-2.7130 0.0000 4.2865
Mg Tl Pb
6 5 1
direct
0.0776 0.4138 0.7451
0.2423 0.2423 0.2417
0.4138 0.0776 0.7451
0.5862 0.9224 0.2549
0.7577 0.7577 0.7583
0.9224 0.5862 0.2549
0.0000 0.0000 0.5000
0.1683 0.8317 0.0000
0.3360 0.6640 0.5000
0.6640 0.3360 0.5000
0.8317 0.1683 0.0000
0.5000 0.5000 0.0000
```

No. 6
Density functional theory data (PBE-GGA) for a geometry-optimized Mg5Tl3Pb2 structure.

DFT formation energy	-16	meV/atom
calculated total energy	-45.3	eV for the cell shown
DOS at the Fermi energy	4.135	states/eV/f.u.
total moment	0.000	Bohr magnetons per cell

Cell and atoms, written as POSCAR:
```
Mg5Tl3Pb2
1.0
4.6383 -12.0913 0.0000
4.6383 12.0913 0.0000
-4.4862 0.0000 4.6664
Mg Tl Pb
10 6 4
direct
0.0000 0.0000 0.2500
0.0000 0.0000 0.7500
0.1691 0.3526 0.7616
0.3171 0.6829 0.2500
0.3169 0.6831 0.7500
0.3526 0.1691 0.2616
0.6474 0.8309 0.7384
0.6831 0.3169 0.2500
0.6829 0.3171 0.7500
0.8309 0.6474 0.2384
0.1045 0.6792 0.3921
0.3208 0.8955 0.1079
0.4998 0.5002 0.2500
0.5002 0.4998 0.7500
0.6792 0.1045 0.8921
0.8955 0.3208 0.6079
0.1072 0.3125 0.2110
0.3125 0.1072 0.7110
0.6875 0.8928 0.2890
0.8928 0.6875 0.7890
```

No. 7
Density functional theory data (PBE-GGA) for a geometry-optimized MgTl2Pb structure.

DFT formation energy	9	meV/atom
calculated total energy	-10.0	eV for the cell shown
DOS at the Fermi energy	0.764	states/eV/f.u.
total moment	0.000	Bohr magnetons per cell

Cell and atoms, written as POSCAR:
```
MgTl2Pb
1.0
0.0000 3.8597 3.8597
3.8597 0.0000 3.8597
3.8597 3.8597 0.0000
Mg Tl Pb
1 2 1
direct
0.0000 0.0000 0.0000
0.2500 0.2500 0.2500
0.5000 0.5000 0.5000
0.7500 0.7500 0.7500
```

No. 8
Density functional theory data (PBE-GGA) for a geometry-optimized Mg4TlPb structure.

DFT formation energy	195	meV/atom
calculated total energy	-11.3	eV for the cell shown
DOS at the Fermi energy	0.863	states/eV/f.u.
total moment	0.000	Bohr magnetons per cell

Cell and atoms, written as POSCAR:
```
Mg4TlPb
1.0
4.9756 -5.0554 0.0000
4.9756 5.0554 0.0000
0.0000 0.0000 3.7804
Mg Tl Pb
4 1 1
direct
0.2276 0.7724 0.0000
0.2872 0.2872 0.5000
0.7128 0.7128 0.5000
0.7724 0.2276 0.0000
0.5000 0.5000 0.0000
0.0000 0.0000 0.5000
```

Please write out number 2 again, unchanged.
Density functional theory data (PBE-GGA) for a geometry-optimized Mg12Tl2Pb5 structure.

DFT formation energy	1	meV/atom
calculated total energy	-42.4	eV for the cell shown
DOS at the Fermi energy	7.232	states/eV/f.u.
total moment	0.000	Bohr magnetons per cell

Cell and atoms, written as POSCAR:
```
Mg12Tl2Pb5
1.0
7.3210 -4.5024 0.0000
7.3210 4.5024 0.0000
-0.0112 0.0000 7.3984
Mg Tl Pb
12 2 5
direct
0.0541 0.0541 0.3131
0.0866 0.6796 0.3541
0.1558 0.5354 0.7561
0.3204 0.9134 0.6459
0.4069 0.4069 0.1105
0.4646 0.8442 0.2439
0.5354 0.1558 0.7561
0.5931 0.5931 0.8895
0.6796 0.0866 0.3541
0.8442 0.4646 0.2439
0.9134 0.3204 0.6459
0.9459 0.9459 0.6869
0.2075 0.7925 0.0000
0.7925 0.2075 0.0000
0.2011 0.2011 0.9604
0.2583 0.2583 0.4215
0.5000 0.5000 0.5000
0.7417 0.7417 0.5785
0.7989 0.7989 0.0396
```

Which value of calculated total energy does entry 7 give? -10.0 eV for the cell shown

Number 2 is which compound? Mg12Tl2Pb5